A | Material: Pr6DyEr12
Method: DFT, PBE
State: optimized geometry

The structure in POSCAR format:
```
Pr6DyEr12
1.0
6.7901 3.9203 4.1337
-6.7901 3.9203 4.1337
0.0000 -7.8406 4.1337
Pr Dy Er
6 1 12
direct
0.2374 0.7197 0.7197 Pr
0.2803 0.2803 0.7626 Pr
0.2803 0.7626 0.2803 Pr
0.7197 0.2374 0.7197 Pr
0.7197 0.7197 0.2374 Pr
0.7626 0.2803 0.2803 Pr
0.5000 0.5000 0.5000 Dy
0.0000 0.3843 0.6157 Er
0.0000 0.6157 0.3843 Er
0.0482 0.0482 0.3336 Er
0.0482 0.3336 0.0482 Er
0.3336 0.0482 0.0482 Er
0.3843 0.0000 0.6157 Er
0.3843 0.6157 0.0000 Er
0.6157 0.0000 0.3843 Er
0.6157 0.3843 0.0000 Er
0.6664 0.9518 0.9518 Er
0.9518 0.6664 0.9518 Er
0.9518 0.9518 0.6664 Er
```

Values from the calculation:
Magnetic moment, μB/f.u.: 0.041
DOS(E_F), states/eV/cell: 25.61
Mass density, g/cm3: 7.58

B | Material: Pr6DyEr12
Method: DFT, PBE
State: optimized geometry

The structure in POSCAR format:
```
Pr6DyEr12
1.0
6.6229 3.8237 4.2117
-6.6229 3.8237 4.2117
0.0000 -7.6475 4.2117
Pr Dy Er
6 1 12
direct
0.1561 0.5979 0.5979 Pr
0.4021 0.4021 0.8439 Pr
0.4021 0.8439 0.4021 Pr
0.5979 0.1561 0.5979 Pr
0.5979 0.5979 0.1561 Pr
0.8439 0.4021 0.4021 Pr
0.5000 0.5000 0.5000 Dy
0.0000 0.2556 0.7444 Er
0.0000 0.7444 0.2556 Er
0.1448 0.1448 0.4191 Er
0.1448 0.4191 0.1448 Er
0.2556 0.0000 0.7444 Er
0.2556 0.7444 0.0000 Er
0.4191 0.1448 0.1448 Er
0.5809 0.8552 0.8552 Er
0.7444 0.0000 0.2556 Er
0.7444 0.2556 0.0000 Er
0.8552 0.5809 0.8552 Er
0.8552 0.8552 0.5809 Er
```

Values from the calculation:
Magnetic moment, μB/f.u.: 0.001
DOS(E_F), states/eV/cell: 30.13
Mass density, g/cm3: 7.82

Of the structures shown above, B is the most stable.